Computed, not measured: crystalline PrCd5Pt3 at its relaxed geometry at the PBE level of DFT.

a b c (Å): 4.054 14.775 13.283
angles (deg): 90.00 90.00 90.00
Space group Cmcm (No. 63)
Asymmetric unit:
Pr 0.000 0.172 0.250 [4 per cell]
Cd 0.000 0.000 0.000 [4 per cell]
Cd 0.000 0.197 0.548 [8 per cell]
Cd 0.000 0.436 0.145 [8 per cell]
Pt 0.000 0.163 0.750 [4 per cell]
Pt 0.000 0.383 0.580 [8 per cell]

Calculated values
ΔH_f (0 K) ... -0.384 eV/atom
DFT total energy ... -0.2526 Ry per atom